## NaNdFe4O12 (GGA+U)

Data for a relaxed structure of NaNdFe4O12.

Results
V, A^3/atom: 12.30
Energy, eV per atom: -5.959

Unit cell a=5.375 b=5.375 c=7.662 alpha=90.00 beta=90.00 gamma=90.00
Each line ends with the local moment (μB).
Fractional positions:
O 0.758 0.758 0.739  0.29
O 0.000 0.500 0.000  0.35
O 0.242 0.242 0.739  0.29
O 0.500 0.000 0.500  0.28
O 0.242 0.758 0.261  0.29
O 0.000 0.500 0.500  0.28
O 0.242 0.758 0.739  0.29
O 0.758 0.758 0.261  0.29
O 0.242 0.242 0.261  0.29
O 0.758 0.242 0.261  0.29
O 0.500 0.000 0.000  0.35
O 0.758 0.242 0.739  0.29
Fe 0.000 0.500 0.245  3.76
Fe 0.500 0.000 0.245  3.76
Fe 0.500 0.000 0.755  3.76
Fe 0.000 0.500 0.755  3.76
Na 0.500 0.500 0.000  0.00
Nd 0.000 0.000 0.500  0.00